Below is a relaxed structure of Sc5Si2H, with properties calculated at the PBE level.

Output
**E_tot**: -6.08 eV/atom
**Size of the total moment**: 1.47 μB/cell
**Theoretical density**: 3.11 g/cm3
**SG**: No. 107

Structure (extended XYZ):
```
8
Lattice="-3.100 3.100 3.912 3.100 -3.100 3.912 3.100 3.100 -3.912" Properties=species:S:1:pos:R:3 pbc="T T T"
Sc 0.000 0.000 0.000
Sc 1.565 1.565 1.913
Sc 1.536 -1.536 5.825
Sc -1.536 1.536 5.825
Sc 1.536 1.536 5.825
Si 3.100 0.000 3.872
Si 0.000 3.100 3.872
H 0.000 0.000 2.021
```